# 1
! Li3Ag (PBE-GGA, relaxed); values from VASP
&SYSTEM
  ibrav = 0, nat = 4, ntyp = 2
/
ATOMIC_SPECIES
Li 6.94 Li.upf
Ag 107.87 Ag.upf
CELL_PARAMETERS angstrom
5.034 0.035 0.001
4.148 2.853 0.001
0.995 0.313 4.821
ATOMIC_POSITIONS crystal
Li 0.260 0.260 0.236
Ag 0.000 0.000 0.000
Li 0.500 0.500 0.500
Li 0.740 0.740 0.764
! formation energy from the elements: -120 meV per atom
! mass density: 3.1 Mg/m³
! M_tot: 0.0000 μB per atom
! energy above the most stable polymorph in this dataset: 26 meV/atom
! energy: -9.07 eV for the cell shown

=====

# 2
! Tb2Dy4Ho2Er (PBE-GGA, relaxed); values from VASP
&SYSTEM
  ibrav = 0, nat = 9, ntyp = 4
/
ATOMIC_SPECIES
Tb 158.93 Tb.upf
Dy 162.50 Dy.upf
Er 167.26 Er.upf
Ho 164.93 Ho.upf
CELL_PARAMETERS angstrom
3.562 0.000 0.000
-1.781 9.239 -0.494
0.000 -3.648 8.731
ATOMIC_POSITIONS crystal
Tb 0.148 0.296 0.666
Dy 0.518 0.037 0.332
Er 0.000 0.000 0.000
Ho 0.666 0.333 0.000
Dy 0.482 0.963 0.668
Dy 0.185 0.370 0.333
Dy 0.815 0.630 0.667
Tb 0.852 0.704 0.334
Ho 0.334 0.667 0.000
! formation energy from the elements: 3 meV per atom
! mass density: 8.7 Mg/m³
! M_tot: 0.0000 μB per atom
! energy: -41.36 eV for the cell shown

=====

# 3
! TaCuAsBr2 (PBE-GGA, relaxed); values from VASP
&SYSTEM
  ibrav = 0, nat = 5, ntyp = 4
/
ATOMIC_SPECIES
Cu 63.55 Cu.upf
Ta 180.95 Ta.upf
Br 79.90 Br.upf
As 74.92 As.upf
CELL_PARAMETERS angstrom
-0.175 -4.549 1.414
4.352 -0.728 -1.804
2.006 1.267 4.327
ATOMIC_POSITIONS crystal
Cu 0.000 0.000 0.000
Ta 0.500 0.500 0.500
Br 0.500 0.000 0.000
Br 0.000 0.500 0.000
As 0.000 0.000 0.500
! mass density: 7.1 Mg/m³
! formation energy from raw total energies: 0.97 eV/atom
! M_tot: 0.3876 μB per atom
! energy above the most stable polymorph in this dataset: 558 meV/atom
! energy: -19.08 eV for the cell shown

=====

# 4
! TaMn2Tc (PBE-GGA, relaxed); values from VASP
&SYSTEM
  ibrav = 0, nat = 4, ntyp = 3
/
ATOMIC_SPECIES
Mn 54.94 Mn.upf
Tc 98.00 Tc.upf
Ta 180.95 Ta.upf
CELL_PARAMETERS angstrom
2.730 0.000 0.000
0.000 2.730 0.000
0.000 0.000 7.331
ATOMIC_POSITIONS crystal
Mn 0.500 0.500 0.206
Tc 0.500 0.500 0.786
Ta 0.000 0.000 0.479
Mn 0.000 0.000 0.029
! formation energy from the elements: 74 meV per atom
! mass density: 11.8 Mg/m³
! M_tot: 0.0009 μB per atom
! energy above the most stable polymorph in this dataset: 138 meV/atom
! energy: -40.26 eV for the cell shown

=====

# 5
! Mn2TlTc (PBE-GGA, relaxed); values from VASP
&SYSTEM
  ibrav = 0, nat = 4, ntyp = 3
/
ATOMIC_SPECIES
Tl 204.38 Tl.upf
Mn 54.94 Mn.upf
Tc 98.00 Tc.upf
CELL_PARAMETERS angstrom
4.728 -0.003 -0.007
3.808 2.804 -0.007
0.855 0.280 4.817
ATOMIC_POSITIONS crystal
Tl 0.248 0.248 0.239
Mn 0.004 0.004 0.974
Mn 0.756 0.756 0.733
Tc 0.492 0.492 0.554
! formation energy from the elements: 494 meV per atom
! mass density: 10.7 Mg/m³
! M_tot: 1.2978 μB per atom
! energy: -29.09 eV for the cell shown

=====

# 6
! Tb7Sm12Mg (PBE-GGA, relaxed); values from VASP
&SYSTEM
  ibrav = 0, nat = 20, ntyp = 3
/
ATOMIC_SPECIES
Sm 150.36 Sm.upf
Tb 158.93 Tb.upf
Mg 24.30 Mg.upf
CELL_PARAMETERS angstrom
-8.983 1.329 -2.098
0.561 -1.369 9.202
4.536 7.906 -1.943
ATOMIC_POSITIONS crystal
Sm 0.223 0.676 0.380
Tb 0.897 0.317 0.010
Sm 0.324 0.620 0.777
Tb 0.317 0.010 0.897
Sm 0.401 0.056 0.294
Sm 0.294 0.401 0.056
Sm 0.599 0.944 0.706
Tb 0.990 0.103 0.683
Sm 0.380 0.223 0.676
Sm 0.620 0.777 0.324
Sm 0.944 0.706 0.599
Sm 0.777 0.324 0.620
Sm 0.056 0.294 0.401
Tb 0.500 0.500 0.500
Tb 0.103 0.683 0.990
Mg 0.000 0.000 0.000
Tb 0.683 0.990 0.103
Sm 0.676 0.380 0.223
Sm 0.706 0.599 0.944
Tb 0.010 0.897 0.317
! formation energy from the elements: 148 meV per atom
! mass density: 7.4 Mg/m³
! M_tot: 0.0000 μB per atom
! energy above the most stable polymorph in this dataset: 0 meV/atom
! energy: -87.67 eV for the cell shown

=====

# 7
! Pm4GaAgHg2 (PBE-GGA, relaxed); values from VASP
&SYSTEM
  ibrav = 0, nat = 8, ntyp = 4
/
ATOMIC_SPECIES
Pm 145.00 Pm.upf
Hg 200.59 Hg.upf
Ag 107.87 Ag.upf
Ga 69.72 Ga.upf
CELL_PARAMETERS angstrom
-1.521 5.067 0.478
-1.229 1.964 4.780
7.392 4.729 2.908
ATOMIC_POSITIONS crystal
Pm 0.627 0.627 0.119
Pm 0.123 0.123 0.631
Hg 0.249 0.249 0.254
Ag 0.500 0.500 0.500
Ga 0.000 0.000 0.000
Pm 0.877 0.877 0.369
Hg 0.751 0.751 0.746
Pm 0.373 0.373 0.881
! formation energy from the elements: -432 meV per atom
! mass density: 9.0 Mg/m³
! M_tot: 0.1261 μB per atom
! energy: -28.94 eV for the cell shown

=====

# 8
! CrRuPt (PBE-GGA, relaxed); values from VASP
&SYSTEM
  ibrav = 0, nat = 12, ntyp = 3
/
ATOMIC_SPECIES
Pt 195.08 Pt.upf
Ru 101.07 Ru.upf
Cr 52.00 Cr.upf
CELL_PARAMETERS angstrom
5.176 -0.042 -0.031
1.628 6.103 0.499
1.624 1.737 5.873
ATOMIC_POSITIONS crystal
Pt 0.837 0.336 0.086
Ru 0.588 0.954 0.204
Cr 0.121 0.918 0.168
Cr 0.879 0.583 0.332
Ru 0.412 0.547 0.296
Cr 0.121 0.417 0.668
Pt 0.162 0.164 0.414
Ru 0.588 0.453 0.704
Ru 0.412 0.046 0.796
Cr 0.879 0.082 0.832
Pt 0.838 0.836 0.586
Pt 0.163 0.664 0.914
! formation energy from the elements: 206 meV per atom
! mass density: 12.7 Mg/m³
! M_tot: 0.0000 μB per atom
! energy above the most stable polymorph in this dataset: 297 meV/atom
! energy: -97.29 eV for the cell shown

=====

# 9
! NbAlIr2 (PBE-GGA, relaxed); values from VASP
&SYSTEM
  ibrav = 0, nat = 8, ntyp = 3
/
ATOMIC_SPECIES
Nb 92.91 Nb.upf
Ir 192.22 Ir.upf
Al 26.98 Al.upf
CELL_PARAMETERS angstrom
5.951 0.000 0.000
0.000 5.951 0.000
2.975 2.975 5.049
ATOMIC_POSITIONS crystal
Nb 0.750 0.250 0.500
Ir 0.132 0.625 0.250
Ir 0.875 0.868 0.750
Ir 0.375 0.382 0.750
Nb 0.000 0.000 0.000
Ir 0.618 0.125 0.250
Al 0.500 0.500 0.000
Al 0.250 0.750 0.500
! formation energy from the elements: 326 meV per atom
! mass density: 9.4 Mg/m³
! M_tot: 0.0000 μB per atom
! energy: -60.46 eV for the cell shown

=====

# 10
! La4SmTh3 (PBE-GGA, relaxed); values from VASP
&SYSTEM
  ibrav = 0, nat = 16, ntyp = 3
/
ATOMIC_SPECIES
Th 232.04 Th.upf
La 138.91 La.upf
Sm 150.36 Sm.upf
CELL_PARAMETERS angstrom
5.119 0.000 0.000
0.000 10.471 0.000
0.000 0.000 10.261
ATOMIC_POSITIONS crystal
Th 0.564 0.384 0.253
Th 0.064 0.382 0.500
La 0.064 0.138 0.252
Sm 0.564 0.615 0.500
La 0.564 0.862 0.248
La 0.064 0.858 0.000
La 0.564 0.862 0.752
Th 0.564 0.618 0.000
Sm 0.064 0.385 0.000
La 0.564 0.142 0.500
Th 0.064 0.616 0.247
La 0.064 0.138 0.748
La 0.564 0.132 0.000
Th 0.564 0.384 0.747
Th 0.064 0.616 0.753
La 0.064 0.868 0.500
! formation energy from the elements: 34 meV per atom
! mass density: 8.5 Mg/m³
! M_tot: 0.0000 μB per atom
! energy: -92.83 eV for the cell shown

=====

# 11
! PaCo5B2 (PBE-GGA, relaxed); values from VASP
&SYSTEM
  ibrav = 0, nat = 8, ntyp = 3
/
ATOMIC_SPECIES
B 10.81 B.upf
Co 58.93 Co.upf
Pa 231.04 Pa.upf
CELL_PARAMETERS angstrom
-0.257 1.657 -3.039
-4.842 -1.186 -2.220
-3.654 4.020 0.518
ATOMIC_POSITIONS crystal
B 0.766 0.734 0.734
Co 0.348 0.849 0.455
Co 0.652 0.151 0.545
Co 0.652 0.545 0.151
Co 0.348 0.455 0.849
Co 0.000 0.500 0.500
B 0.234 0.266 0.266
Pa 0.000 0.000 0.000
! formation energy from the elements: -355 meV per atom
! mass density: 10.4 Mg/m³
! M_tot: 0.0007 μB per atom
! energy: -61.22 eV for the cell shown

=====

# 12
! Mg4Hg5Pd2 (PBE-GGA, relaxed); values from VASP
&SYSTEM
  ibrav = 0, nat = 11, ntyp = 3
/
ATOMIC_SPECIES
Hg 200.59 Hg.upf
Pd 106.42 Pd.upf
Mg 24.30 Mg.upf
CELL_PARAMETERS angstrom
3.146 0.000 0.000
0.000 7.536 -0.427
0.000 0.186 9.557
ATOMIC_POSITIONS crystal
Hg 0.000 0.500 0.000
Pd 0.000 0.915 0.361
Hg 0.000 0.534 0.339
Hg 0.000 0.466 0.661
Mg 0.500 0.196 0.857
Hg 0.000 0.845 0.862
Mg 0.500 0.208 0.428
Mg 0.500 0.804 0.143
Mg 0.500 0.792 0.572
Hg 0.000 0.155 0.138
Pd 0.000 0.085 0.639
! formation energy from the elements: -328 meV per atom
! mass density: 9.6 Mg/m³
! M_tot: 0.0000 μB per atom
! energy: -21.88 eV for the cell shown

=====

# 13
! Tm2AgRu (PBE-GGA, relaxed); values from VASP
&SYSTEM
  ibrav = 0, nat = 4, ntyp = 3
/
ATOMIC_SPECIES
Tm 168.93 Tm.upf
Ag 107.87 Ag.upf
Ru 101.07 Ru.upf
CELL_PARAMETERS angstrom
4.888 0.001 0.002
2.445 4.243 0.003
0.002 2.814 3.997
ATOMIC_POSITIONS crystal
Tm 0.000 0.000 0.000
Ag 0.750 0.500 0.250
Tm 0.500 0.000 0.500
Ru 0.250 0.500 0.750
! formation energy from the elements: -411 meV per atom
! mass density: 11.0 Mg/m³
! M_tot: 0.0000 μB per atom
! energy: -22.72 eV for the cell shown

=====

# 14
! BeInPb3 (PBE-GGA, relaxed); values from VASP
&SYSTEM
  ibrav = 0, nat = 5, ntyp = 3
/
ATOMIC_SPECIES
Be 9.01 Be.upf
Pb 207.20 Pb.upf
In 114.82 In.upf
CELL_PARAMETERS angstrom
5.782 0.000 0.000
0.000 5.782 0.000
0.000 0.000 5.782
ATOMIC_POSITIONS crystal
Be 0.500 0.500 0.500
Pb 0.000 0.500 0.000
Pb 0.500 0.000 0.000
In 0.000 0.000 0.000
Pb 0.000 0.000 0.500
! formation energy from the elements: 1073 meV per atom
! mass density: 6.4 Mg/m³
! M_tot: 0.0000 μB per atom
! energy above the most stable polymorph in this dataset: 729 meV/atom
! energy: -12.22 eV for the cell shown

=====

# 15
! BBrCl3 (PBE-GGA, relaxed); values from VASP
&SYSTEM
  ibrav = 0, nat = 5, ntyp = 3
/
ATOMIC_SPECIES
B 10.81 B.upf
Cl 35.45 Cl.upf
Br 79.90 Br.upf
CELL_PARAMETERS angstrom
-1.783 -3.293 2.543
2.613 -3.039 -2.104
3.238 0.640 3.098
ATOMIC_POSITIONS crystal
B 0.000 0.000 0.000
Cl 0.500 0.000 0.000
Cl 0.000 0.500 0.000
Br 0.500 0.500 0.500
Cl 0.000 0.000 0.500
! mass density: 3.5 Mg/m³
! formation energy from raw total energies: 0.55 eV/atom
! M_tot: 0.2808 μB per atom
! energy above the most stable polymorph in this dataset: 0 meV/atom
! energy: -11.12 eV for the cell shown

=====

# 16
! LiDyCoBi (PBE-GGA, relaxed); values from VASP
&SYSTEM
  ibrav = 0, nat = 4, ntyp = 4
/
ATOMIC_SPECIES
Li 6.94 Li.upf
Co 58.93 Co.upf
Dy 162.50 Dy.upf
Bi 208.98 Bi.upf
CELL_PARAMETERS angstrom
-2.972 0.694 -3.548
1.522 -0.282 -4.417
-1.303 -3.594 -2.699
ATOMIC_POSITIONS crystal
Li 0.500 0.500 0.500
Co 0.000 0.000 0.000
Dy 0.750 0.750 0.750
Bi 0.250 0.250 0.250
! formation energy from the elements: -318 meV per atom
! mass density: 10.0 Mg/m³
! M_tot: 0.0000 μB per atom
! energy: -18.78 eV for the cell shown